# 1
## TlCo2 (PBE)

Data for a relaxed structure of TlCo2.

Lattice parameters (Å, degrees): 6.0981 6.0981 6.0981 90.00 90.00 90.00
With the nearest neighbours (Å) after each atom.
Space group Pa-3 (No. 205)
One atom of each set of equivalent atoms:
Tl 0.0000 0.0000 0.0000 [4 per cell]  6 Co 2.58
Co 0.1024 0.6024 0.8976 [8 per cell]  1 Co 2.16

Properties
ρ: 9.4 g cm⁻³
Uncorrected energy: -52.828 eV for the cell shown
E_form: 3.371 eV/f.u.
Total moment: 11.9 μB/cell

---

# 2
## TlCo2 (PBE)

Data for a relaxed structure of TlCo2.

Lattice parameters (Å, degrees): 3.7353 3.7353 14.0572 90.00 90.00 90.00
With the nearest neighbours (Å) after each atom.
Space group I4_1/amd (No. 141, origin choice 2)
One atom of each set of equivalent atoms:
Tl 0.0000 0.2500 0.3750 [4 per cell]  12 Co 2.88-3.02
Co 0.0000 0.2500 0.7942 [8 per cell]  3 Co 2.24-2.27

Properties
ρ: 10.9 g cm⁻³
Uncorrected energy: -59.019 eV for the cell shown
E_form: 1.823 eV/f.u.
Total moment: 11.6 μB/cell

---

# 3
## TlCo2 (PBE)

Data for a relaxed structure of TlCo2.

Lattice parameters (Å, degrees): 10.4648 2.8895 6.7375 90.00 113.10 90.00
With the nearest neighbours (Å) after each atom.
Space group C2/m (No. 12)
One atom of each set of equivalent atoms:
Tl 0.1668 0.0000 0.1482 [4 per cell]  8 Co 2.77-2.93, 2 Tl 2.89
Co 0.0431 0.5000 0.7480 [4 per cell]  4 Co 2.44
Co 0.1217 0.0000 0.5261 [4 per cell]  5 Co 2.43-2.44

Properties
ρ: 11.4 g cm⁻³
Uncorrected energy: -60.645 eV for the cell shown
E_form: 1.417 eV/f.u.
Total moment: 13.0 μB/cell

---

# 4
## TlCo3 (PBE)

Data for a relaxed structure of TlCo3.

Lattice parameters (Å, degrees): 2.8627 4.1488 4.7800 90.00 90.00 90.00
With the nearest neighbours (Å) after each atom.
Space group Pmm2 (No. 25)
One atom of each set of equivalent atoms:
Tl 0.0000 0.0000 0.0000 [1 per cell]  10 Co 2.71-2.80, 2 Tl 2.86
Co 0.0000 0.5000 0.6349 [1 per cell]  6 Co 2.40-2.60
Co 0.5000 0.0000 0.5034 [1 per cell]  6 Co 2.45-2.60
Co 0.5000 0.5000 0.2309 [1 per cell]  4 Co 2.40-2.45

Properties
ρ: 11.1 g cm⁻³
Uncorrected energy: -21.683 eV for the cell shown
E_form: 2.001 eV/f.u.
Total moment: 4.5 μB/cell

---

# 5
## TlCo4 (PBE)

Data for a relaxed structure of TlCo4.

Lattice parameters (Å, degrees): 3.7107 3.7107 10.3595 90.00 90.00 90.00
With the nearest neighbours (Å) after each atom.
Space group I4/mmm (No. 139)
One atom of each set of equivalent atoms:
Tl 0.0000 0.0000 0.0000 [2 per cell]  16 Co 2.87-3.19
Co 0.0000 0.0000 0.3877 [4 per cell]  5 Co 2.33-2.34
Co 0.0000 0.5000 0.2500 [4 per cell]  4 Co 2.34

Properties
Offset from the most stable computed form: 58 meV per atom
ρ: 10.2 g cm⁻³
Uncorrected energy: -57.347 eV for the cell shown
E_form: 2.116 eV/f.u.
Total moment: 13.4 μB/cell

---

# 6
## Tl3Co4 (PBE)

Data for a relaxed structure of Tl3Co4.

Lattice parameters (Å, degrees): 5.9280 5.9280 4.3588 90.00 90.00 120.00
With the nearest neighbours (Å) after each atom.
Space group P6/mmm (No. 191)
One atom of each set of equivalent atoms:
Tl 0.0000 0.5000 0.0000 [3 per cell]  4 Co 2.77, 4 Tl 2.96
Co 0.0000 0.0000 0.2505 [2 per cell]  2 Co 2.18
Co 0.3333 0.6667 0.5000 [2 per cell]  6 Tl 2.77

Properties
Offset from the most stable computed form: 618 meV per atom
ρ: 10.6 g cm⁻³
Uncorrected energy: -28.048 eV for the cell shown
E_form: 7.474 eV/f.u.
Total moment: 6.3 μB/cell

---

# 7
## TlCo5 (PBE)

Data for a relaxed structure of TlCo5.

Lattice parameters (Å, degrees): 9.4834 2.8048 6.0806 90.00 106.56 90.00
With the nearest neighbours (Å) after each atom.
Space group Cm (No. 8)
One atom of each set of equivalent atoms:
Tl 0.0000 0.0000 0.0000 [2 per cell]  10 Co 2.65-2.77, 2 Tl 2.80
Co 0.0300 0.0000 0.5605 [2 per cell]  9 Co 2.47-2.63
Co 0.1658 0.5000 0.3564 [2 per cell]  6 Co 2.36-2.47
Co 0.2084 0.5000 0.8783 [2 per cell]  6 Co 2.46-2.71, 3 Tl 2.65-2.69
Co 0.3173 0.0000 0.6376 [2 per cell]  8 Co 2.36-2.63
Co 0.3518 0.0000 0.2567 [2 per cell]  7 Co 2.43-2.71

Properties
ρ: 10.7 g cm⁻³
Uncorrected energy: -71.528 eV for the cell shown
E_form: 2.132 eV/f.u.
Total moment: 15.6 μB/cell

---

# 8
## TlCo (PBE)

Data for a relaxed structure of TlCo.

Lattice parameters (Å, degrees): 7.3242 7.3242 7.3242 90.00 90.00 90.00
With the nearest neighbours (Å) after each atom.
Space group Pm-3n (No. 223)
One atom of each set of equivalent atoms:
Tl 0.0000 0.2500 0.5000 [6 per cell]  4 Co 2.59
Co 0.0000 0.5000 0.2500 [6 per cell]  4 Tl 2.59

Properties
ρ: 6.7 g cm⁻³
Uncorrected energy: -41.150 eV for the cell shown
E_form: 2.614 eV/f.u.
Total moment: 8.7 μB/cell

---

# 9
## TlCo (PBE)

Data for a relaxed structure of TlCo.

Lattice parameters (Å, degrees): 3.1912 3.1912 4.0426 90.00 90.00 120.00
With the nearest neighbours (Å) after each atom.
Space group P-6m2 (No. 187)
One atom of each set of equivalent atoms:
Tl 0.0000 0.0000 0.0000 [1 per cell]  6 Co 2.73
Co 0.3333 0.6667 0.5000 [1 per cell]  6 Tl 2.73

Properties
ρ: 12.3 g cm⁻³
Uncorrected energy: -8.120 eV for the cell shown
E_form: 1.353 eV/f.u.
Total moment: 1.1 μB/cell

---

# 10
## TlCo (PBE)

Data for a relaxed structure of TlCo.

Lattice parameters (Å, degrees): 3.3414 3.3414 7.4071 90.00 90.00 90.00
With the nearest neighbours (Å) after each atom.
Space group P4/nmm (No. 129, origin choice 2)
One atom of each set of equivalent atoms:
Tl 0.2500 0.2500 0.1819 [2 per cell]  4 Co 2.89
Co 0.2500 0.7500 0.5000 [2 per cell]  4 Co 2.36

Properties
ρ: 10.6 g cm⁻³
Uncorrected energy: -17.085 eV for the cell shown
E_form: 0.930 eV/f.u.
Total moment: 3.2 μB/cell

---

# 11
## TlCo2 (PBE)

Data for a relaxed structure of TlCo2.

Lattice parameters (Å, degrees): 4.4468 4.4468 5.2007 90.00 90.00 120.00
With the nearest neighbours (Å) after each atom.
Space group P6_3/mmc (No. 194)
One atom of each set of equivalent atoms:
Tl 0.3333 0.6667 0.2500 [2 per cell]  5 Co 2.57-2.60
Co 0.0000 0.0000 0.0000 [2 per cell]  8 Co 2.60-2.88, 6 Tl 2.88
Co 0.3333 0.6667 0.7500 [2 per cell]  5 Tl 2.57-2.60

Properties
ρ: 12.0 g cm⁻³
Uncorrected energy: -29.416 eV for the cell shown
E_form: 1.870 eV/f.u.
Total moment: 4.9 μB/cell

---

# 12
## TlCo (PBE)

Data for a relaxed structure of TlCo.

Lattice parameters (Å, degrees): 12.6095 2.9844 6.6727 90.00 117.34 90.00
With the nearest neighbours (Å) after each atom.
Space group Cm (No. 8)
One atom of each set of equivalent atoms:
Tl 0.0000 0.0000 0.0000 [2 per cell]  5 Co 2.68-2.99, 2 Tl 2.98
Tl 0.0466 0.0000 0.5449 [2 per cell]  6 Co 2.85-3.01, 2 Tl 2.98
Tl 0.2788 0.0000 0.1062 [2 per cell]  5 Co 2.79-2.84, 2 Tl 2.98
Co 0.1848 0.5000 0.3499 [2 per cell]  3 Co 2.31-2.48
Co 0.2634 0.5000 0.7382 [2 per cell]  3 Co 2.31-2.46
Co 0.3562 0.0000 0.5702 [2 per cell]  4 Co 2.46-2.48

Properties
ρ: 11.8 g cm⁻³
Uncorrected energy: -51.394 eV for the cell shown
E_form: 0.906 eV/f.u.
Total moment: 8.6 μB/cell